Material: NaAl2HgN
Method: DFT, PBE
State: optimized geometry Values from VASP.

Quantum ESPRESSO input file:
```
&SYSTEM
  ibrav = 0, nat = 5, ntyp = 4
/
ATOMIC_SPECIES
Na 22.99 Na.upf
Al 26.98 Al.upf
Hg 200.59 Hg.upf
N 14.01 N.upf
CELL_PARAMETERS angstrom
4.031 0.000 0.000
0.000 4.031 0.000
0.000 0.000 4.847
ATOMIC_POSITIONS crystal
Na 0.000 0.000 0.000
Al 0.000 0.500 0.500
Al 0.500 0.000 0.500
Hg 0.500 0.500 0.000
N 0.000 0.000 0.500
```

V   78.7 Å³/f.u.
Mass density   6.148 Mg/m³



Material: Na2AlHgN
Method: DFT, PBE
State: optimized geometry Values from VASP.

Quantum ESPRESSO input file:
```
&SYSTEM
  ibrav = 0, nat = 5, ntyp = 4
/
ATOMIC_SPECIES
Na 22.99 Na.upf
Al 26.98 Al.upf
Hg 200.59 Hg.upf
N 14.01 N.upf
CELL_PARAMETERS angstrom
5.192 0.000 0.000
0.000 5.192 0.000
0.000 0.000 3.657
ATOMIC_POSITIONS crystal
Na 0.000 0.500 0.000
Na 0.500 0.000 0.000
Al 0.000 0.000 0.500
Hg 0.500 0.500 0.500
N 0.000 0.000 0.000
```

V   98.6 Å³/f.u.
Mass density   4.844 Mg/m³



Material: Nd12Al4HgN3
Method: DFT, PBE
State: optimized geometry Values from VASP.

Quantum ESPRESSO input file:
```
&SYSTEM
  ibrav = 0, nat = 20, ntyp = 4
/
ATOMIC_SPECIES
Nd 144.24 Nd.upf
Al 26.98 Al.upf
Hg 200.59 Hg.upf
N 14.01 N.upf
CELL_PARAMETERS angstrom
-5.170 5.170 5.170
5.170 -5.170 5.170
5.170 5.170 -5.170
ATOMIC_POSITIONS crystal
Nd 0.000 0.276 0.276
Nd 0.000 0.724 0.724
Nd 0.250 0.500 0.750
Nd 0.250 0.750 0.500
Nd 0.276 0.000 0.276
Nd 0.276 0.276 0.000
Nd 0.500 0.250 0.750
Nd 0.500 0.750 0.250
Nd 0.724 0.000 0.724
Nd 0.724 0.724 0.000
Nd 0.750 0.250 0.500
Nd 0.750 0.500 0.250
Al 0.000 0.000 0.500
Al 0.000 0.500 0.000
Al 0.500 0.000 0.000
Al 0.500 0.500 0.500
Hg 0.000 0.000 0.000
N 0.000 0.500 0.500
N 0.500 0.000 0.500
N 0.500 0.500 0.000
```

V   552.7 Å³/f.u.
Mass density   6.253 Mg/m³



Material: AlHgN2O
Method: DFT, PBE
State: optimized geometry Values from VASP.

Quantum ESPRESSO input file:
```
&SYSTEM
  ibrav = 0, nat = 5, ntyp = 4
/
ATOMIC_SPECIES
Al 26.98 Al.upf
Hg 200.59 Hg.upf
N 14.01 N.upf
O 16.00 O.upf
CELL_PARAMETERS angstrom
4.176 0.000 0.000
0.000 4.176 0.000
0.000 0.000 4.221
ATOMIC_POSITIONS crystal
Al 0.000 0.000 0.000
Hg 0.500 0.500 0.500
N 0.000 0.500 0.500
N 0.500 0.000 0.500
O 0.500 0.500 0.000
```

V   73.6 Å³/f.u.
Mass density   6.126 Mg/m³



Material: AlHgN2O
Method: DFT, PBE
State: optimized geometry Values from VASP.

Quantum ESPRESSO input file:
```
&SYSTEM
  ibrav = 0, nat = 5, ntyp = 4
/
ATOMIC_SPECIES
Al 26.98 Al.upf
Hg 200.59 Hg.upf
N 14.01 N.upf
O 16.00 O.upf
CELL_PARAMETERS angstrom
3.966 0.000 0.000
0.000 3.966 0.000
0.000 0.000 3.703
ATOMIC_POSITIONS crystal
Al 0.000 0.000 0.000
Hg 0.500 0.500 0.500
N 0.000 0.500 0.000
N 0.500 0.000 0.000
O 0.000 0.000 0.500
```

V   58.2 Å³/f.u.
Mass density   7.743 Mg/m³



Material: AlHgNO2
Method: DFT, PBE
State: optimized geometry Values from VASP.

Quantum ESPRESSO input file:
```
&SYSTEM
  ibrav = 0, nat = 5, ntyp = 4
/
ATOMIC_SPECIES
Al 26.98 Al.upf
Hg 200.59 Hg.upf
N 14.01 N.upf
O 16.00 O.upf
CELL_PARAMETERS angstrom
4.133 0.000 0.000
0.000 4.133 0.000
0.000 0.000 4.182
ATOMIC_POSITIONS crystal
Al 0.000 0.000 0.000
Hg 0.500 0.500 0.500
N 0.500 0.500 0.000
O 0.000 0.500 0.500
O 0.500 0.000 0.500
```

V   71.4 Å³/f.u.
Mass density   6.360 Mg/m³



Material: AlHgNO2
Method: DFT, PBE
State: optimized geometry Values from VASP.

Quantum ESPRESSO input file:
```
&SYSTEM
  ibrav = 0, nat = 5, ntyp = 4
/
ATOMIC_SPECIES
Al 26.98 Al.upf
Hg 200.59 Hg.upf
N 14.01 N.upf
O 16.00 O.upf
CELL_PARAMETERS angstrom
3.772 0.000 0.000
0.000 3.772 0.000
0.000 0.000 3.971
ATOMIC_POSITIONS crystal
Al 0.000 0.000 0.000
Hg 0.500 0.500 0.500
N 0.000 0.000 0.500
O 0.000 0.500 0.000
O 0.500 0.000 0.000
```

V   56.5 Å³/f.u.
Mass density   8.041 Mg/m³



Material: Al2HgPN
Method: DFT, PBE
State: optimized geometry Values from VASP.

Quantum ESPRESSO input file:
```
&SYSTEM
  ibrav = 0, nat = 5, ntyp = 4
/
ATOMIC_SPECIES
Al 26.98 Al.upf
Hg 200.59 Hg.upf
P 30.97 P.upf
N 14.01 N.upf
CELL_PARAMETERS angstrom
5.268 0.000 0.000
0.000 5.268 0.000
0.000 0.000 3.887
ATOMIC_POSITIONS crystal
Al 0.000 0.500 0.000
Al 0.500 0.000 0.000
Hg 0.000 0.000 0.000
P 0.500 0.500 0.500
N 0.000 0.000 0.500
```

V   107.9 Å³/f.u.
Mass density   4.610 Mg/m³



Material: AlReHgN2
Method: DFT, PBE
State: optimized geometry Values from VASP.

Quantum ESPRESSO input file:
```
&SYSTEM
  ibrav = 0, nat = 5, ntyp = 4
/
ATOMIC_SPECIES
Al 26.98 Al.upf
Re 186.21 Re.upf
Hg 200.59 Hg.upf
N 14.01 N.upf
CELL_PARAMETERS angstrom
3.874 0.000 0.000
0.000 3.874 0.000
0.000 0.000 5.445
ATOMIC_POSITIONS crystal
Al 0.000 0.000 0.000
Re 0.000 0.000 0.500
Hg 0.500 0.500 0.000
N 0.000 0.500 0.500
N 0.500 0.000 0.500
```

V   81.7 Å³/f.u.
Mass density   8.977 Mg/m³



Material: AlHgSN2
Method: DFT, PBE
State: optimized geometry Values from VASP.

Quantum ESPRESSO input file:
```
&SYSTEM
  ibrav = 0, nat = 5, ntyp = 4
/
ATOMIC_SPECIES
Al 26.98 Al.upf
Hg 200.59 Hg.upf
S 32.06 S.upf
N 14.01 N.upf
CELL_PARAMETERS angstrom
4.155 0.000 0.000
0.000 4.155 0.000
0.000 0.000 5.925
ATOMIC_POSITIONS crystal
Al 0.000 0.000 0.000
Hg 0.500 0.500 0.500
S 0.500 0.500 0.000
N 0.000 0.500 0.500
N 0.500 0.000 0.500
```

V   102.3 Å³/f.u.
Mass density   4.668 Mg/m³
Excess energy over the best structure of this formula in the dataset   5.63 eV/f.u.



Material: AlHgSN2
Method: DFT, PBE
State: optimized geometry Values from VASP.

Quantum ESPRESSO input file:
```
&SYSTEM
  ibrav = 0, nat = 5, ntyp = 4
/
ATOMIC_SPECIES
Al 26.98 Al.upf
Hg 200.59 Hg.upf
S 32.06 S.upf
N 14.01 N.upf
CELL_PARAMETERS angstrom
3.720 0.000 0.000
0.000 3.720 0.000
0.000 0.000 5.743
ATOMIC_POSITIONS crystal
Al 0.000 0.000 0.000
Hg 0.500 0.500 0.500
S 0.000 0.000 0.500
N 0.000 0.500 0.000
N 0.500 0.000 0.000
```

V   79.5 Å³/f.u.
Mass density   6.009 Mg/m³
Excess energy over the best structure of this formula in the dataset   0.00 eV/f.u.



Material: AlHgSeN2
Method: DFT, PBE
State: optimized geometry Values from VASP.

Quantum ESPRESSO input file:
```
&SYSTEM
  ibrav = 0, nat = 5, ntyp = 4
/
ATOMIC_SPECIES
Al 26.98 Al.upf
Hg 200.59 Hg.upf
Se 78.96 Se.upf
N 14.01 N.upf
CELL_PARAMETERS angstrom
3.785 0.000 0.000
0.000 3.785 0.000
0.000 0.000 5.959
ATOMIC_POSITIONS crystal
Al 0.000 0.000 0.000
Hg 0.500 0.500 0.500
Se 0.000 0.000 0.500
N 0.000 0.500 0.000
N 0.500 0.000 0.000
```

V   85.4 Å³/f.u.
Mass density   6.506 Mg/m³
Excess energy over the best structure of this formula in the dataset   0.00 eV/f.u.



no.,E_form (uncorrected) (meV per atom)
1,-32.5
2,-172.6
3,-441.7
4,1805.2
5,383.2
6,1062.3
7,-439.2
8,1466.7
9,452.1
10,1838.3
11,711.5
12,714.4